Cs3PmSb2O6: relaxed, PBE.

Properties
* raw formation energy: -1.94 eV/atom
* Fermi-level density of states: 0.000 states/eV/atom
* symmetry: P-3m1
* E_tot: -5.71 eV per atom

a b c (Å): 6.409 6.409 8.020
angles (deg): 90.00 90.00 120.00
Fractional coordinates of all 12 atoms:
1 Cs 0.000 0.000 0.000
2 Cs 0.333 0.667 0.671
3 Cs 0.667 0.333 0.329
4 Pm 0.000 0.000 0.500
5 Sb 0.333 0.667 0.217
6 Sb 0.667 0.333 0.783
7 O 0.175 0.350 0.328
8 O 0.175 0.825 0.328
9 O 0.350 0.175 0.672
10 O 0.650 0.825 0.328
11 O 0.825 0.175 0.672
12 O 0.825 0.650 0.672